Below is crystalline Mg2Si2SbRh5 at its relaxed geometry, with properties calculated at the PBE level.

Computed properties:
The value obtained for the formation energy (no corrections) is -700 meV per atom. Its density of states at the Fermi level is 0.266 states/eV per atom. Its energy is -61.91 eV per formula unit.

a b c (Å): 3.4327 9.5582 9.5582
angles (deg): 90.00 90.00 90.00
With the nearest neighbours (Å) after each atom.
Element x y z (fractional)
Si: 0.0000 0.8739 0.3739  6 Rh 2.37-2.42
Si: 0.0000 0.6261 0.8739  6 Rh 2.37-2.42
Si: 0.0000 0.3739 0.1261  6 Rh 2.37-2.42
Rh: 0.5000 0.9248 0.2104  2 Si 2.37
Mg: 0.0000 0.1718 0.3282  3 Si 2.73-2.88, 6 Rh 2.89-2.99
Rh: 0.5000 0.4248 0.2896  2 Si 2.37
Rh: 0.5000 0.7104 0.4248  2 Si 2.37
Si: 0.0000 0.1261 0.6261  6 Rh 2.37-2.42
Rh: 0.5000 0.0752 0.7896  2 Si 2.37
Rh: 0.5000 0.5752 0.7104  2 Si 2.37
Mg: 0.0000 0.3282 0.8282  3 Si 2.73-2.88, 6 Rh 2.89-2.99
Rh: 0.5000 0.0000 0.5000  4 Si 2.42
Sb: 0.0000 0.0000 0.0000  8 Rh 2.74
Rh: 0.5000 0.2896 0.5752  2 Si 2.37
Rh: 0.5000 0.5000 0.0000  4 Si 2.42
Rh: 0.5000 0.2104 0.0752  2 Si 2.37
Rh: 0.5000 0.7896 0.9248  2 Si 2.37
Mg: 0.0000 0.6718 0.1718  3 Si 2.73-2.88, 6 Rh 2.89-2.99
Mg: 0.0000 0.8282 0.6718  3 Si 2.73-2.88, 6 Rh 2.89-2.99
Sb: 0.0000 0.5000 0.5000  8 Rh 2.74